# Ni5Pt2W2 PBE relaxed
# Raw total energy (eV per atom): -7.419
# Formation enthalpy at 0 K (eV/atom): 0.014
data_Ni5Pt2W2
_cell_length_a 4.829
_cell_length_b 5.263
_cell_length_c 5.591
_cell_angle_alpha 76.75
_cell_angle_beta 73.05
_cell_angle_gamma 63.14
_symmetry_space_group_name_H-M 'P -1'
_symmetry_Int_Tables_number 2
loop_
_symmetry_equiv_pos_as_xyz
'x,y,z'
'-x,-y,-z'
loop_
_atom_site_label
_atom_site_fract_x
_atom_site_fract_y
_atom_site_fract_z
Ni1 0.000 0.000 0.000
Ni2 0.226 0.830 0.598
Ni3 0.394 0.603 0.203
Pt1 0.188 0.335 0.667
W1 0.340 0.158 0.190